[1]
# LiZnFe2 PBE relaxed
data_LiZnFe2
_space_group_name_H-M_alt 'P 1'
_space_group_IT_number 1
_space_group_name_Hall 'P 1'
_cell_length_a 4.6880
_cell_length_b 4.6880
_cell_length_c 2.4891
_cell_angle_alpha 90.00
_cell_angle_beta 90.00
_cell_angle_gamma 116.39
loop_
_atom_site_label
_atom_site_fract_x
_atom_site_fract_y
_atom_site_fract_z
Fe1 0.5000 0.5000 0.0000
Fe2 0.0000 0.0000 0.0000
Zn1 0.0000 0.5000 0.5000
Li1 0.5000 0.0000 0.5000
# Energy relative to the elements, meV per atom: 136
# Space group: Cmmm

=====

[2]
# Li2ZnFe PBE relaxed
data_Li2ZnFe
_space_group_name_H-M_alt 'P 1'
_space_group_IT_number 1
_space_group_name_Hall 'P 1'
_cell_length_a 5.2888
_cell_length_b 5.2888
_cell_length_c 5.2888
_cell_angle_alpha 151.17
_cell_angle_beta 128.51
_cell_angle_gamma 60.09
loop_
_atom_site_label
_atom_site_fract_x
_atom_site_fract_y
_atom_site_fract_z
Li1 0.0018 0.0018 0.0000
Li2 0.7420 0.2420 0.5000
Fe1 0.2593 0.7593 0.5000
Zn1 0.4968 0.4968 0.0000
# Energy relative to the elements, meV per atom: 180
# Space group: Imm2

=====

[3]
# Li2ZnFe PBE relaxed
data_Li2ZnFe
_space_group_name_H-M_alt 'P 1'
_space_group_IT_number 1
_space_group_name_Hall 'P 1'
_cell_length_a 5.0251
_cell_length_b 5.0251
_cell_length_c 5.0251
_cell_angle_alpha 138.35
_cell_angle_beta 138.35
_cell_angle_gamma 60.37
loop_
_atom_site_label
_atom_site_fract_x
_atom_site_fract_y
_atom_site_fract_z
Li1 0.5000 0.5000 0.0000
Li2 0.0000 0.0000 0.0000
Zn1 0.2500 0.7500 0.5000
Fe1 0.7500 0.2500 0.5000
# Energy relative to the elements, meV per atom: 170
# Space group: I4/mmm

=====

[4]
# LiZn2Fe PBE relaxed
data_LiZn2Fe
_space_group_name_H-M_alt 'P 1'
_space_group_IT_number 1
_space_group_name_Hall 'P 1'
_cell_length_a 4.4749
_cell_length_b 4.4749
_cell_length_c 5.0011
_cell_angle_alpha 84.01
_cell_angle_beta 84.01
_cell_angle_gamma 33.27
loop_
_atom_site_label
_atom_site_fract_x
_atom_site_fract_y
_atom_site_fract_z
Zn1 0.4949 0.4949 0.5075
Zn2 0.0051 0.0051 0.9925
Fe1 0.7500 0.7500 0.7500
Li1 0.2500 0.2500 0.2500
# Energy relative to the elements, meV per atom: 58
# Space group: C2/m

=====

[5]
# LiZnFe2 PBE relaxed
data_LiZnFe2
_space_group_name_H-M_alt 'P 1'
_space_group_IT_number 1
_space_group_name_Hall 'P 1'
_cell_length_a 4.3969
_cell_length_b 4.3969
_cell_length_c 4.7436
_cell_angle_alpha 84.93
_cell_angle_beta 84.93
_cell_angle_gamma 32.83
loop_
_atom_site_label
_atom_site_fract_x
_atom_site_fract_y
_atom_site_fract_z
Zn1 0.2539 0.2539 0.2547
Fe1 0.9973 0.9973 0.9835
Fe2 0.7466 0.7466 0.7641
Li1 0.5022 0.5022 0.4978
# Energy relative to the elements, meV per atom: 124
# Space group: Cm

=====

[6]
# Li2ZnFe PBE relaxed
data_Li2ZnFe
_space_group_name_H-M_alt 'P 1'
_space_group_IT_number 1
_space_group_name_Hall 'P 1'
_cell_length_a 4.6175
_cell_length_b 4.6175
_cell_length_c 4.9676
_cell_angle_alpha 83.60
_cell_angle_beta 83.60
_cell_angle_gamma 31.82
loop_
_atom_site_label
_atom_site_fract_x
_atom_site_fract_y
_atom_site_fract_z
Zn1 0.5022 0.5022 0.4736
Fe1 0.2435 0.2435 0.2734
Li1 0.9976 0.9976 0.9958
Li2 0.7568 0.7568 0.7572
# Energy relative to the elements, meV per atom: 127
# Space group: Cm

=====

> Among the records above, which one has the highest energy relative to the elements?

number 2

=====

Repeat the fourth record exactly.
# LiZn2Fe PBE relaxed
data_LiZn2Fe
_space_group_name_H-M_alt 'P 1'
_space_group_IT_number 1
_space_group_name_Hall 'P 1'
_cell_length_a 4.4749
_cell_length_b 4.4749
_cell_length_c 5.0011
_cell_angle_alpha 84.01
_cell_angle_beta 84.01
_cell_angle_gamma 33.27
loop_
_atom_site_label
_atom_site_fract_x
_atom_site_fract_y
_atom_site_fract_z
Zn1 0.4949 0.4949 0.5075
Zn2 0.0051 0.0051 0.9925
Fe1 0.7500 0.7500 0.7500
Li1 0.2500 0.2500 0.2500
# Energy relative to the elements, meV per atom: 58
# Space group: C2/m